[1]
## YBe2P (SCAN)

Data for a PBEsol-optimized structure of YBe2P.

Lattice parameters (Å, degrees): 6.841 3.534 5.126 90.00 111.00 90.00
Space group Cm (No. 8)
Symmetry-distinct sites (fractional):
Y: 0.000 0.000 0.000 [2 per cell]
Be: 0.024 0.500 0.543 [2 per cell]
Be: 0.241 0.000 0.623 [2 per cell]
P: 0.280 0.500 0.392 [2 per cell]

Total magnetization (μB per formula unit): 0.0
E (eV/cell): -97.942
DFT formation energy (meV/atom): -506
Calculated volume (Å³ per cell): 116

***

[2]
## SiNiSb2Te (SCAN)

Data for a PBEsol-optimized structure of SiNiSb2Te.

Lattice parameters (Å, degrees): 5.039 5.039 5.121 90.00 90.00 90.00
Space group P4/mmm (No. 123)
Symmetry-distinct sites (fractional):
Si: 0.000 0.000 0.000 [1 per cell]
Ni: 0.500 0.500 0.500 [1 per cell]
Sb: 0.000 0.500 0.000 [2 per cell]
Te: 0.000 0.000 0.500 [1 per cell]

Formation energy from raw total energies (eV per atom): 1.1166
Total magnetization (μB per formula unit): 1.1
E (eV/cell): -132.378
Calculated volume (Å³ per cell): 130

***

[3]
## HgIrSe2 (SCAN)

Data for a PBEsol-optimized structure of HgIrSe2.

Lattice parameters (Å, degrees): 3.6429 3.6429 21.4033 90.00 90.00 120.00
Space group R3m (No. 160, hexagonal axes)
Symmetry-distinct sites (fractional):
Hg: 0.0000 0.0000 0.0000 [3 per cell]
Ir: 0.0000 0.0000 0.7523 [3 per cell]
Se: 0.0000 0.0000 0.2555 [3 per cell]
Se: 0.0000 0.0000 0.4722 [3 per cell]

Formation energy from raw total energies (eV per atom): 0.0613
Total magnetization (μB per formula unit): 0.0
E (eV/cell): -537.530
Calculated volume (Å³ per cell): 246